## PuMnCo2O6 (PBE with a Hubbard U)

Data for PuMnCo2O6 after structural relaxation.

abc: 5.246 5.261 5.622
angles: 89.99 62.48 60.25
Positions (direct):
1 Pu 0.000 0.000 0.000
2 Mn 0.005 0.499 0.494
3 Co 0.410 0.295 0.882
4 Co 0.420 0.791 0.376
5 O 0.176 0.596 0.705
6 O 0.186 0.701 0.223
7 O 0.480 0.113 0.222
8 O 0.519 0.884 0.706
9 O 0.887 0.229 0.708
10 O 0.894 0.408 0.224

Computed properties:
SG: No. 1
DFT total energy in eV/atom: -7.724
ρ in g cm⁻³: 7.47